Record 1
The following is a PBE calculation of an optimized crystal structure of TiRh3S, from Alexandria.

abc: 4.550 4.550 4.550
angles: 90.00 90.00 90.00
Atoms (fractional coordinates):
Rh 0.500 0.000 0.000
Rh 0.000 0.000 0.500
Rh 0.000 0.500 0.000
Ti 0.000 0.000 0.000
S 0.500 0.500 0.500

Properties
E in eV/atom: -5.91
Space group: Pm-3m
E above lowest polymorph in meV/atom: 849
Crystal system: cubic

***

Record 2
The following is a PBE calculation of an optimized crystal structure of LaCd2Se, from Alexandria.

abc: 5.435 5.435 5.947
angles: 69.55 69.55 44.20
Atoms (fractional coordinates):
Se 0.755 0.755 0.611
Cd 0.015 0.015 0.063
Cd 0.263 0.263 0.213
La 0.466 0.466 0.613

Properties
E in eV/atom: -3.24
Space group: Cm
Crystal system: monoclinic

***

Record 3
The following is a PBE calculation of an optimized crystal structure of Sr2ZnSn4Rh3, from Alexandria.

abc: 4.640 4.640 10.760
angles: 90.00 90.00 90.00
Atoms (fractional coordinates):
Sn 0.500 0.500 0.000
Sn 0.000 0.500 0.370
Sn 0.000 0.000 0.000
Sn 0.500 0.000 0.630
Sr 0.000 0.500 0.747
Sr 0.500 0.000 0.253
Rh 0.500 0.000 0.875
Rh 0.000 0.000 0.500
Rh 0.000 0.500 0.125
Zn 0.500 0.500 0.500

Properties
E in eV/atom: -4.81
Space group: P-4m2
Crystal system: tetragonal